No. 1
Here is a relaxed KZn4Au8 crystal from Alexandria. Energies are from PBE.

POSCAR file:
```
KZn4Au8
1.0
-4.6574 4.6574 2.7559
4.6574 -4.6574 2.7559
4.6574 4.6574 -2.7559
K Zn Au
1 4 8
direct
0.0000 0.0000 0.0000
0.0000 0.0000 0.5000
0.0000 0.5000 0.0000
0.5000 0.0000 0.0000
0.5000 0.5000 0.5000
0.0000 0.3407 0.3407
0.0000 0.6593 0.6593
0.2774 0.5000 0.7774
0.3407 0.0000 0.3407
0.5000 0.2774 0.7774
0.5000 0.7226 0.2226
0.6593 0.0000 0.6593
0.7226 0.5000 0.2226
```

Values from the calculation:
Calculated density in Mg/m³: 13.03
E in eV per atom: -2.682
Formation energy from the elements in kJ/mol of atoms: -18

---

No. 2
Here is a relaxed K3ZnAu2 crystal from Alexandria. Energies are from PBE.

POSCAR file:
```
K3ZnAu2
1.0
13.0729 0.0000 0.0000
0.0000 4.6367 0.0000
0.0000 0.0000 13.7687
K Zn Au
12 4 8
direct
0.0609 0.2500 0.1173
0.1211 0.7500 0.5557
0.1913 0.2500 0.7945
0.3087 0.7500 0.2945
0.3789 0.2500 0.0557
0.4391 0.7500 0.6173
0.5609 0.2500 0.3827
0.6211 0.7500 0.9443
0.6913 0.2500 0.7055
0.8087 0.7500 0.2055
0.8789 0.2500 0.4443
0.9391 0.7500 0.8827
0.1279 0.2500 0.3627
0.3721 0.7500 0.8627
0.6279 0.2500 0.1373
0.8721 0.7500 0.6373
0.0467 0.7500 0.3187
0.2022 0.7500 0.9727
0.2978 0.2500 0.4727
0.4533 0.2500 0.8187
0.5467 0.7500 0.1813
0.7022 0.7500 0.5273
0.7978 0.2500 0.0273
0.9533 0.2500 0.6813
```

Values from the calculation:
Calculated density in Mg/m³: 4.59
E in eV per atom: -2.090
Formation energy from the elements in kJ/mol of atoms: -23

---

No. 3
Here is a relaxed KZn6Au3 crystal from Alexandria. Energies are from PBE.

POSCAR file:
```
KZn6Au3
1.0
6.8823 0.0000 0.0000
0.0000 7.1292 0.0000
-4.1498 0.0000 7.6468
K Zn Au
2 12 6
direct
0.0000 0.0000 0.0000
0.0000 0.5000 0.5000
0.1513 0.0164 0.6701
0.1513 0.4836 0.1701
0.2470 0.6952 0.8861
0.2470 0.8048 0.3861
0.4904 0.2308 0.2583
0.4904 0.2692 0.7583
0.5096 0.7308 0.2417
0.5096 0.7692 0.7417
0.7530 0.1952 0.6139
0.7530 0.3048 0.1139
0.8487 0.5164 0.8299
0.8487 0.9836 0.3299
0.2252 0.1656 0.4043
0.2252 0.3344 0.9043
0.5000 0.0000 0.0000
0.5000 0.5000 0.5000
0.7748 0.6656 0.0957
0.7748 0.8344 0.5957
```

Values from the calculation:
Calculated density in Mg/m³: 9.05
E in eV per atom: -1.968
Formation energy from the elements in kJ/mol of atoms: -11